First-principles (PBE+U) data for an optimized crystal structure of VAs2F, as listed in Alexandria.

Lattice parameters (Å, degrees): 3.6665 3.6665 21.2393 90.00 90.00 90.00
Closest atoms and distances in Å follow each position.
Atoms (fractional coordinates):
V 0.0000 0.0000 0.0000  4 F 2.59
V 0.0000 0.5000 0.2500  4 F 2.59
V 0.5000 0.0000 0.7500  4 F 2.59
V 0.5000 0.5000 0.5000  4 F 2.59
As 0.2234 0.2500 0.1250  4 As 2.46-2.73
As 0.2500 0.7234 0.3750  4 As 2.46-2.73
As 0.2500 0.7766 0.8750  4 As 2.46-2.73
As 0.2766 0.2500 0.6250  4 As 2.46-2.73
As 0.7234 0.7500 0.6250  4 As 2.46-2.73
As 0.7500 0.2234 0.8750  4 As 2.46-2.73
As 0.7500 0.2766 0.3750  4 As 2.46-2.73
As 0.7766 0.7500 0.1250  4 As 2.46-2.73
F 0.0000 0.0000 0.5000  4 V 2.59
F 0.0000 0.5000 0.7500  4 V 2.59
F 0.5000 0.0000 0.2500  4 V 2.59
F 0.5000 0.5000 0.0000  4 V 2.59

Output
total energy: -80.37 eV/cell
DOS at the Fermi energy: 1.9 states/eV/f.u.